Y11Sn10: relaxed, PBEsol.

The structure in POSCAR format:
```
Y11Sn10
1.0
-5.743 5.743 8.409
5.743 -5.743 8.409
5.743 5.743 -8.409
Y Sn
22 20
Cartesian
5.743 2.857 -3.169 Y
3.802 0.000 1.717 Y
7.683 0.000 1.717 Y
0.000 0.000 2.802 Y
5.743 -1.941 6.692 Y
2.857 5.743 -3.169 Y
2.886 0.000 5.240 Y
3.742 3.742 0.000 Y
2.000 -2.000 8.409 Y
0.000 3.802 1.717 Y
5.743 2.857 3.169 Y
0.000 2.886 5.240 Y
5.743 1.941 6.692 Y
-2.000 2.000 8.409 Y
2.000 2.000 8.409 Y
2.857 5.743 3.169 Y
2.886 0.000 11.579 Y
0.000 7.683 1.717 Y
0.000 0.000 14.017 Y
-1.941 5.743 6.692 Y
1.941 5.743 6.692 Y
0.000 2.886 11.579 Y
2.365 2.365 -2.958 Sn
3.378 -3.378 5.451 Sn
1.486 1.486 0.000 Sn
4.256 -4.256 8.409 Sn
5.743 1.653 0.000 Sn
5.743 0.000 4.205 Sn
2.365 2.365 2.958 Sn
3.378 -3.378 11.368 Sn
0.000 0.000 6.537 Sn
1.653 5.743 0.000 Sn
4.089 0.000 8.409 Sn
0.000 0.000 10.282 Sn
-3.378 3.378 5.451 Sn
3.378 3.378 5.451 Sn
0.000 5.743 4.205 Sn
0.000 4.089 8.409 Sn
-4.256 4.256 8.409 Sn
4.256 4.256 8.409 Sn
-3.378 3.378 11.368 Sn
3.378 3.378 11.368 Sn
```

Computed properties:
Calculated total energy, eV/cell: -270.45
SG: I4/mmm, No. 139
Formation enthalpy at 0 K, eV per formula unit: -17.590